No. 1
First-principles (PBE-GGA) data for crystalline DyCoCuPb at its relaxed geometry, as listed in Alexandria.

a b c (Å): 4.7123 4.7123 4.7123
angles (deg): 60.00 60.00 60.00
Last column: nearest neighbours and their distance in Å.
Sites, in units of the cell vectors:
Dy 0.0000 0.0000 0.0000  4 Co 2.89, 4 Cu 2.89
Co 0.7500 0.7500 0.7500  4 Pb 2.89, 4 Dy 2.89
Cu 0.2500 0.2500 0.2500  4 Dy 2.89, 4 Pb 2.89
Pb 0.5000 0.5000 0.5000  4 Co 2.89, 4 Cu 2.89

The symmetry is No. 216. For the calculated total energy, the calculation gives -4.9155 eV per atom. The calculation puts the formation energy at -0.037 eV/atom.


No. 2
First-principles (PBE-GGA) data for crystalline PmDyCoCu at its relaxed geometry, as listed in Alexandria.

a b c (Å): 4.8783 4.8783 4.8783
angles (deg): 60.00 60.00 60.00
Last column: nearest neighbours and their distance in Å.
Sites, in units of the cell vectors:
Pm 0.0000 0.0000 0.0000  4 Cu 2.99, 4 Co 2.99
Dy 0.5000 0.5000 0.5000  4 Cu 2.99, 4 Co 2.99
Co 0.2500 0.2500 0.2500  4 Dy 2.99, 4 Pm 2.99
Cu 0.7500 0.7500 0.7500  4 Pm 2.99, 4 Dy 2.99

The symmetry is No. 216. The calculation puts the energy above the most stable polymorph in this dataset at 0.040 eV/atom. For the calculated total energy, the calculation gives -5.2656 eV per atom. The calculation puts the formation energy at -0.127 eV/atom.


No. 3
First-principles (PBE-GGA) data for crystalline PmDyCoCu at its relaxed geometry, as listed in Alexandria.

a b c (Å): 4.3006 5.4882 5.4882
angles (deg): 41.05 90.00 90.00
Last column: nearest neighbours and their distance in Å.
Sites, in units of the cell vectors:
Pm 0.0000 0.0000 0.0000  3 Co 2.92-2.94, 4 Cu 2.99
Dy 0.5000 0.7191 0.7191  3 Cu 2.84-3.05, 4 Co 2.96
Co 0.0000 0.2843 0.2843  2 Cu 2.58
Cu 0.5000 0.4223 0.4223  2 Co 2.58, 2 Dy 2.84

The symmetry is No. 38. The calculation puts the energy above the most stable polymorph in this dataset at 0.000 eV/atom. For the calculated total energy, the calculation gives -5.3053 eV per atom. The calculation puts the formation energy at -0.167 eV/atom.